Record 1
The following is a PBE-GGA calculation of a relaxed Ba2InGa2 crystal, from Alexandria via LeMat-Bulk.

Geometry as POSCAR:
```
Ba2InGa2
1.0
3.8987 0.0000 0.0000
0.0000 3.8987 0.0000
1.9493 1.9493 11.0288
Ga In Ba
2 1 2
Direct
0.2500 0.7500 0.5000
0.7500 0.2500 0.5000
0.0000 0.0000 0.0000
0.3896 0.3896 0.2207
0.6104 0.6104 0.7793
```

**Excess energy over the best structure of this formula in the dataset**: 156.1 meV/atom
**N(E_F)**: 0.708 states/eV per atom
**E_form**: -0.2265 eV/atom

=====

Record 2
The following is a PBE-GGA calculation of a relaxed BaIn2Ga4 crystal, from Alexandria via LeMat-Bulk.

Geometry as POSCAR:
```
BaIn2Ga4
1.0
-0.5032 4.2082 -1.3961
1.9997 -1.1238 -4.1081
-8.2753 -3.4818 -0.3812
Ga In Ba
4 2 1
Direct
0.0782 0.5782 0.1564
0.3406 0.3406 0.6811
0.9218 0.4218 0.8436
0.6594 0.6594 0.3189
0.1799 0.1799 0.3598
0.8201 0.8201 0.6402
0.5000 0.0000 0.0000
```

**N(E_F)**: 0.393 states/eV per atom
**E_form**: -0.2526 eV/atom